Version 1
LaNd2Pb | PBE-GGA | optimized geometry

Lattice parameters (Å, degrees): 3.5630 3.5630 37.0226 90.00 90.00 120.00
Space group R-3m (No. 166, hexagonal axes)
Asymmetric unit:
La (0.0000, 0.0000, 0.0000) [3 per cell]
Nd (0.0000, 0.0000, 0.0931) [6 per cell]
Pb (0.0000, 0.0000, 0.5000) [3 per cell]

Version 2
LaNd2Pb | PBE-GGA | optimized geometry

Lattice parameters (Å, degrees): 6.4193 3.7045 11.6619 90.00 100.50 90.00
Space group Cm (No. 8)
Asymmetric unit:
La (0.0000, 0.0000, 0.0000) [2 per cell]
Nd (0.2448, 0.0000, 0.7343) [2 per cell]
Nd (0.4212, 0.0000, 0.2641) [2 per cell]
Pb (0.3336, 0.5000, 0.5003) [2 per cell]

Version 3
LaNd2Pb | PBE-GGA | optimized geometry

Lattice parameters (Å, degrees): 5.0599 5.0599 4.9460 90.00 90.00 90.00
Space group P4/mmm (No. 123)
Asymmetric unit:
La (0.0000, 0.0000, 0.0000) [1 per cell]
Nd (0.0000, 0.5000, 0.5000) [2 per cell]
Pb (0.5000, 0.5000, 0.0000) [1 per cell]

Which structure is most stable? version 3, by 20.2 kJ/mol of atoms over the runner-up.

Version 1
La2NdPb3 | PBE-GGA | optimized geometry

Lattice parameters (Å, degrees): 6.0026 18.0353 7.0097 90.00 90.00 90.00
Space group Cmmm (No. 65)
Asymmetric unit:
La (0.0000, 0.0000, 0.0000) [2 per cell]
La (0.0000, 0.0000, 0.5000) [2 per cell]
La (0.0000, 0.3345, 0.0000) [4 per cell]
Nd (0.0000, 0.3330, 0.5000) [4 per cell]
Pb (0.0000, 0.1678, 0.2583) [8 per cell]
Pb (0.0000, 0.5000, 0.2581) [4 per cell]

Version 2
La2NdPb3 | PBE-GGA | optimized geometry

Lattice parameters (Å, degrees): 16.8227 6.5984 7.6739 90.00 103.15 90.00
Space group C2/c (No. 15)
Asymmetric unit:
La (0.1668, 0.0012, 0.0831) [8 per cell]
Nd (0.0000, 0.4950, 0.7500) [4 per cell]
Pb (0.0000, 0.0056, 0.2500) [4 per cell]
Pb (0.1646, 0.4987, 0.5827) [8 per cell]

Which structure is most stable? version 1, by 5.9 kJ/mol of atoms over the runner-up.